Record 1
DFT (meta-GGA SCAN) results for Li2MnS at its PBEsol-relaxed geometry.

Cell lengths 4.4525, 5.8326, 5.8326 Å; angles 81.62, 67.56, 67.56 degrees
Last column: nearest neighbours and their distance in Å.
Sites, in units of the cell vectors:
Mn (0.7500, 0.5000, 0.5000)  2 S 2.23
S (0.2500, 0.5000, 0.5000)  2 Mn 2.23, 4 Li 2.33
Li (0.8750, 0.9104, 0.5896)  2 S 2.33
Li (0.2146, 0.4104, 0.9104)  2 S 2.33
Li (0.3750, 0.0896, 0.4104)  2 S 2.33
Li (0.5354, 0.5896, 0.0896)  2 S 2.33
Mn (0.0000, 0.0000, 0.0000)  2 S 2.23
S (0.5000, 0.0000, 0.0000)  2 Mn 2.23, 4 Li 2.33



Record 2
DFT (meta-GGA SCAN) results for Li6MnS4 at its PBEsol-relaxed geometry.

Cell lengths 5.7360, 7.9265, 7.9265 Å; angles 90.00, 90.00, 90.00 degrees
Last column: nearest neighbours and their distance in Å.
Sites, in units of the cell vectors:
S (0.2154, 0.7561, 0.5000)  1 Mn 2.38, 6 Li 2.39-2.50
Li (0.5388, 0.5000, 0.0000)  4 S 2.39-2.42
S (0.7154, 0.0000, 0.7439)  1 Mn 2.38, 6 Li 2.39-2.50
Li (0.0000, 0.7739, 0.2261)  4 S 2.44-2.50
S (0.2846, 0.7439, 0.0000)  1 Mn 2.38, 6 Li 2.39-2.50
S (0.7846, 0.5000, 0.7561)  1 Mn 2.38, 6 Li 2.39-2.50
S (0.2154, 0.2439, 0.5000)  1 Mn 2.38, 6 Li 2.39-2.50
Li (0.0000, 0.7739, 0.7739)  4 S 2.44-2.50
Li (0.0388, 0.5000, 0.0000)  4 S 2.39-2.42
S (0.2846, 0.2561, 0.0000)  1 Mn 2.38, 6 Li 2.39-2.50
Mn (0.0000, 0.5000, 0.5000)  4 S 2.38
Li (0.9612, 0.0000, 0.5000)  4 S 2.39-2.42
Li (0.5000, 0.2739, 0.2739)  4 S 2.44-2.50
Li (0.5000, 0.7261, 0.7261)  4 S 2.44-2.50
Li (0.0000, 0.2261, 0.7739)  4 S 2.44-2.50
Li (0.5000, 0.7261, 0.2739)  4 S 2.44-2.50
Mn (0.5000, 0.0000, 0.0000)  4 S 2.38
Li (0.5000, 0.2739, 0.7261)  4 S 2.44-2.50
S (0.7154, 0.0000, 0.2561)  1 Mn 2.38, 6 Li 2.39-2.50
S (0.7846, 0.5000, 0.2439)  1 Mn 2.38, 6 Li 2.39-2.50
Li (0.4612, 0.0000, 0.5000)  4 S 2.39-2.42
Li (0.0000, 0.2261, 0.2261)  4 S 2.44-2.50



Record 3
DFT (meta-GGA SCAN) results for Li3MnS at its PBEsol-relaxed geometry.

Cell lengths 4.6836, 4.6836, 4.6836 Å; angles 90.00, 90.00, 90.00 degrees
Last column: nearest neighbours and their distance in Å.
Sites, in units of the cell vectors:
S (0.5000, 0.5000, 0.5000)  12 Li 3.31
Mn (0.0000, 0.0000, 0.0000)  6 Li 2.34
Li (0.0000, 0.0000, 0.5000)  2 Mn 2.34
Li (0.0000, 0.5000, 0.0000)  2 Mn 2.34
Li (0.5000, 0.0000, 0.0000)  2 Mn 2.34



Record 4
DFT (meta-GGA SCAN) results for LiMnSb2 at its PBEsol-relaxed geometry.

Values from the calculation:
* distance to the lowest polymorph of the same formula: 28 meV/atom

Cell lengths 3.9996, 3.9993, 5.6527 Å; angles 110.69, 110.69, 90.03 degrees
Last column: nearest neighbours and their distance in Å.
Sites, in units of the cell vectors:
Mn (0.7503, 0.2503, 0.5006)  8 Sb 2.83-3.17, 4 Li 3.16
Sb (0.2499, 0.7499, 0.4997)  4 Mn 2.83, 4 Li 3.16, 4 Sb 3.16
Li (0.5001, 0.5001, 0.0002)  8 Sb 2.83-3.16, 4 Mn 3.16
Sb (0.9998, 0.9998, 0.9995)  4 Li 2.83, 4 Mn 3.16-3.17, 4 Sb 3.16



no.,electronic total energy (eV per atom),uncorrected formation energy (eV per atom)
1,-8.661,-0.495
2,-7.908,-1.444
3,-6.525,0.485
4,-23.996,-0.204